Zr2Ru2W | PBE | optimized geometry

extended XYZ file:
```
10
Lattice="6.5203 0.0000 0.0000 0.0000 6.5203 0.0000 0.0000 0.0000 4.3820" Properties=species:S:1:pos:R:3 pbc="T T T"
Zr 1.1685 2.0917 0.0000
Zr 2.0917 5.3519 0.0000
Zr 4.4286 1.1685 0.0000
Zr 5.3519 4.4286 0.0000
Ru 0.9162 4.1764 2.1910
Ru 2.3440 0.9162 2.1910
Ru 4.1764 5.6041 2.1910
Ru 5.6041 2.3440 2.1910
W 0.0000 0.0000 2.1910
W 3.2602 3.2602 2.1910
```

M_tot   0.0 μB/f.u.
Space group   P4/mbm, No. 127
Excess energy over the best structure of this formula in the dataset   0.000 eV/atom
Energy of formation   -0.148 eV per atom
Raw total energy   -9.868 eV/atom


ErBeNi4Ge2 | PBE | optimized geometry

extended XYZ file:
```
8
Lattice="1.9878 1.1476 7.9106 -1.9878 1.1476 7.9106 0.0000 -2.2953 7.9106" Properties=species:S:1:pos:R:3 pbc="T T T"
Er 0.0000 0.0000 0.0000
Be 0.0000 0.0000 11.8659
Ni 0.0000 0.0000 3.2611
Ni 0.0000 0.0000 9.7210
Ni 0.0000 0.0000 14.0108
Ni 0.0000 0.0000 20.4708
Ge 0.0000 0.0000 5.7616
Ge 0.0000 0.0000 17.9702
```

M_tot   0.0 μB/f.u.
Space group   R-3m, No. 166
Energy of formation   -0.474 eV per atom
Raw total energy   -5.556 eV/atom


AcAg3F8 | PBE | optimized geometry

extended XYZ file:
```
12
Lattice="7.4937 -2.0933 0.0000 7.4937 2.0933 0.0000 -0.2252 0.0000 6.7608" Properties=species:S:1:pos:R:3 pbc="T T T"
Ac 0.0000 0.0000 0.0000
Ag 2.1003 0.0000 3.1023
Ag 3.8746 0.0000 6.2176
Ag 6.2574 0.0000 3.1447
F -0.0129 0.0000 2.6510
F 1.7966 0.0000 5.1988
F 2.6339 0.0000 1.1078
F 4.1149 0.0000 3.5841
F 5.6621 0.0000 1.0512
F 7.0616 0.0000 5.1783
F 8.3126 0.0000 0.9932
F 12.5479 0.0000 5.8131
```

M_tot   0.0 μB/f.u.
Space group   Cm, No. 8
Excess energy over the best structure of this formula in the dataset   0.000 eV/atom
Raw formation energy   -2.101 eV/atom
Raw total energy   -4.404 eV/atom


Hf2PaP | PBE | optimized geometry

extended XYZ file:
```
12
Lattice="3.3608 0.0000 0.0000 -1.6804 2.9105 0.0000 0.0000 0.0000 27.8543" Properties=species:S:1:pos:R:3 pbc="T T T"
Hf 0.0000 0.0000 3.0340
Hf 0.0000 0.0000 24.8204
Hf 0.0000 1.9403 15.5356
Hf 0.0000 1.9403 21.6035
Hf 1.6804 0.9702 6.2508
Hf 1.6804 0.9702 12.3187
Pa 0.0000 0.0000 0.0000
Pa 0.0000 1.9403 18.5696
Pa 1.6804 0.9702 9.2848
P 0.0000 0.0000 13.9272
P 0.0000 1.9403 4.6424
P 1.6804 0.9702 23.2119
```

M_tot   1.4 μB/f.u.
Space group   R-3m, No. 166
Excess energy over the best structure of this formula in the dataset   0.340 eV/atom
Energy of formation   -0.135 eV per atom
Raw total energy   -8.838 eV/atom


Rb2TlCuBr4 | PBE | optimized geometry

extended XYZ file:
```
16
Lattice="2.3042 -8.9219 0.0000 2.3042 8.9219 0.0000 0.0000 0.0000 17.1398" Properties=species:S:1:pos:R:3 pbc="T T T"
Rb 2.3042 6.6862 9.4243
Rb 2.3042 6.6862 16.2855
Rb 2.3042 -6.6862 0.8544
Rb 2.3042 -6.6862 7.7156
Tl 2.3042 3.1517 12.8549
Tl 2.3042 -3.1517 4.2850
Cu 2.3042 3.5667 4.2850
Cu 2.3042 -3.5667 12.8549
Br 2.3042 6.5814 12.8549
Br 2.3042 4.7154 2.1028
Br 2.3042 4.7154 6.4671
Br 2.3042 0.0000 0.0000
Br 2.3042 0.0000 8.5699
Br 2.3042 -4.7154 10.6727
Br 2.3042 -4.7154 15.0370
Br 2.3042 -6.5814 4.2850
```

M_tot   0.0 μB/f.u.
Space group   Cmcm, No. 63
Raw formation energy   -1.117 eV/atom
Raw total energy   -3.003 eV/atom


Ca2SbPb | PBE | optimized geometry

extended XYZ file:
```
8
Lattice="6.9960 0.0000 0.0000 0.0000 8.7916 0.0000 0.0000 0.0000 3.8393" Properties=species:S:1:pos:R:3 pbc="T T T"
Ca 1.7490 2.1979 0.0000
Ca 1.7490 6.5937 0.0000
Ca 5.2470 2.1979 0.0000
Ca 5.2470 6.5937 0.0000
Sb 0.0000 0.0000 1.9197
Sb 3.4980 4.3958 1.9197
Pb 0.0000 4.3958 1.9197
Pb 3.4980 0.0000 1.9197
```

M_tot   0.0 μB/f.u.
Space group   Cmmm, No. 65
Excess energy over the best structure of this formula in the dataset   0.027 eV/atom
Raw formation energy   -0.660 eV/atom
Raw total energy   -3.619 eV/atom


Zn2GaGe2 | PBE | optimized geometry

extended XYZ file:
```
10
Lattice="8.0585 0.0000 0.0000 0.0000 8.0585 0.0000 0.0000 0.0000 2.8202" Properties=species:S:1:pos:R:3 pbc="T T T"
Zn 1.1447 2.8845 0.0000
Zn 2.8845 6.9138 0.0000
Zn 5.1740 1.1447 0.0000
Zn 6.9138 5.1740 0.0000
Ga 0.0000 0.0000 1.4101
Ga 4.0293 4.0293 1.4101
Ge 1.2528 5.2821 1.4101
Ge 2.7764 1.2528 1.4101
Ge 5.2821 6.8057 1.4101
Ge 6.8057 2.7764 1.4101
```

M_tot   0.0 μB/f.u.
Space group   P4/mbm, No. 127
Excess energy over the best structure of this formula in the dataset   0.029 eV/atom
Energy of formation   0.175 eV per atom
Raw total energy   -2.787 eV/atom


LaPm6Dy2Th | PBE | optimized geometry

extended XYZ file:
```
20
Lattice="4.7237 -7.6093 0.0000 4.7237 7.6093 0.0000 -0.9264 0.0000 9.5590" Properties=species:S:1:pos:R:3 pbc="T T T"
La 4.0288 7.1014 7.1693
La 4.4921 -7.1014 2.3898
Pm 2.0815 4.2154 6.5668
Pm 4.0812 4.8720 0.5826
Pm 4.9029 4.8720 4.1969
Pm 3.0072 1.6785 8.4618
Pm 5.9762 4.2154 7.7717
Pm 5.0505 1.6785 5.8768
Pm 3.4704 -1.6785 3.6822
Pm 2.5447 -4.2154 1.7873
Pm 5.5138 -1.6785 1.0973
Pm 3.6180 -4.8720 5.3621
Pm 4.4397 -4.8720 8.9764
Pm 6.4394 -4.2154 2.9922
Dy 1.8546 0.7769 5.2735
Dy 2.3178 -0.7769 0.4940
Dy 6.2031 0.7769 9.0651
Dy 6.6663 -0.7769 4.2856
Th 4.4921 1.3726 2.3898
Th 4.0288 -1.3726 7.1693
```

M_tot   0.0 μB/f.u.
Space group   C2/c, No. 15
Energy of formation   0.143 eV per atom
Raw total energy   -4.862 eV/atom


Dy3Pb7 | PBE | optimized geometry

extended XYZ file:
```
20
Lattice="10.1081 0.0000 0.0000 -5.0540 8.7538 0.0000 0.0000 0.0000 6.9067" Properties=species:S:1:pos:R:3 pbc="T T T"
Dy 0.0000 3.6752 0.0000
Dy -1.8712 6.9162 0.0000
Dy 3.1828 1.8376 3.4534
Dy 1.8712 6.9162 0.0000
Dy 6.9252 1.8376 3.4534
Dy 5.0540 5.0786 3.4534
Pb -2.1057 4.6202 2.2069
Pb 0.0000 2.1366 3.4869
Pb -3.2037 7.6855 3.4869
Pb 1.8504 1.0683 0.0336
Pb 0.0000 5.8359 4.5004
Pb 2.1057 4.6202 2.2069
Pb 0.0000 8.2673 2.2069
Pb 5.0540 0.4865 5.6603
Pb 2.9484 4.1337 5.6603
Pb 5.0540 2.9179 1.0470
Pb 3.2037 7.6855 3.4869
Pb 8.2577 1.0683 0.0336
Pb 5.0540 6.6172 0.0336
Pb 7.1597 4.1337 5.6603
```

M_tot   0.0 μB/f.u.
Space group   P6_3mc, No. 186
Energy of formation   -0.210 eV per atom
Raw total energy   -4.186 eV/atom


CrNiAs2Se | PBE | optimized geometry

extended XYZ file:
```
5
Lattice="4.6035 0.0000 0.0000 0.0000 4.6035 0.0000 0.0000 0.0000 4.7012" Properties=species:S:1:pos:R:3 pbc="T T T"
Cr 0.0000 0.0000 0.0000
Ni 2.3017 2.3017 2.3506
As 0.0000 2.3017 0.0000
As 2.3017 0.0000 0.0000
Se 0.0000 0.0000 2.3506
```

M_tot   0.4 μB/f.u.
Space group   P4/mmm, No. 123
Excess energy over the best structure of this formula in the dataset   0.000 eV/atom
Raw formation energy   0.685 eV/atom
Raw total energy   -4.953 eV/atom


LaZnGaRh3 | PBE | optimized geometry

extended XYZ file:
```
12
Lattice="3.1417 -5.9899 0.0000 3.1417 5.9899 0.0000 0.0000 0.0000 5.9705" Properties=species:S:1:pos:R:3 pbc="T T T"
La 3.1417 3.7118 4.4779
La 3.1417 -3.7118 1.4926
Zn 3.1417 0.7804 4.4779
Zn 3.1417 -0.7804 1.4926
Ga 3.1417 4.3562 1.4926
Ga 3.1417 -4.3562 4.4779
Rh 1.3492 0.0000 0.0000
Rh 1.3492 0.0000 2.9853
Rh 3.1417 1.8865 1.4926
Rh 3.1417 -1.8865 4.4779
Rh 4.9343 0.0000 0.0000
Rh 4.9343 0.0000 2.9853
```

M_tot   0.0 μB/f.u.
Space group   Cmcm, No. 63
Energy of formation   -0.379 eV per atom
Raw total energy   -5.593 eV/atom


TaBPb2Br | PBE | optimized geometry

extended XYZ file:
```
5
Lattice="5.0187 0.0000 0.0000 0.0000 5.0187 0.0000 0.0000 0.0000 4.5528" Properties=species:S:1:pos:R:3 pbc="T T T"
Ta 0.0000 0.0000 0.0000
B 2.5094 2.5094 2.2764
Pb 0.0000 2.5094 2.2764
Pb 2.5094 0.0000 2.2764
Br 2.5094 2.5094 0.0000
```

M_tot   1.2 μB/f.u.
Space group   P4/mmm, No. 123
Raw formation energy   1.411 eV/atom
Raw total energy   -4.113 eV/atom